VASP calculation (PBE with a Hubbard U) on a relaxed structure of FeSO4.

abc: 4.8585 4.8585 6.7257
angles: 90.00 90.00 113.88
Fractional coordinates of all 12 atoms:
1 Fe 0.0000 0.0000 0.0000
2 Fe 0.0000 0.0000 0.5000
3 S 0.3465 0.6535 0.7500
4 S 0.6535 0.3465 0.2500
5 O 0.2225 0.3142 0.7500
6 O 0.2471 0.7529 0.5673
7 O 0.2471 0.7529 0.9327
8 O 0.3142 0.2225 0.2500
9 O 0.6858 0.7775 0.7500
10 O 0.7529 0.2471 0.0673
11 O 0.7529 0.2471 0.4327
12 O 0.7775 0.6858 0.2500

final energy: -6.4038 eV/atom